Record 1
# AlPS4 GGA-PBE optimized geometry
data_AlPS4
_chemical_formula_sum 'Al2 P2 S8'
_symmetry_space_group_name_H-M 'P 1'
_symmetry_Int_Tables_number 1
_cell_length_a 6.443
_cell_length_b 6.443
_cell_length_c 10.140
_cell_angle_alpha 90.00
_cell_angle_beta 90.00
_cell_angle_gamma 90.00
loop_
_symmetry_equiv_pos_as_xyz
'x,y,z'
loop_
_atom_site_label
_atom_site_type_symbol
_atom_site_fract_x
_atom_site_fract_y
_atom_site_fract_z
S1 S 0.269 0.237 0.500
S2 S 0.237 0.269 0.000
S3 S 0.237 0.731 0.000
S4 S 0.731 0.763 0.500
S5 S 0.269 0.763 0.500
S6 S 0.731 0.237 0.500
S7 S 0.763 0.731 0.000
S8 S 0.763 0.269 0.000
P1 P 0.500 0.000 0.500
P2 P 0.000 0.500 0.000
Al1 Al 0.000 0.000 0.500
Al2 Al 0.000 0.000 0.000
# Calculated density   1.47 Mg/m³
# VASP energy   -4.324 eV/atom
# Density of states at the Fermi level   2.20 states/eV per cell
# Energy relative to the elements, uncorrected   -0.3 eV/f.u.

Record 2
# SrAl2Ru GGA-PBE optimized geometry
data_SrAl2Ru
_chemical_formula_sum 'Sr1 Al2 Ru1'
_symmetry_space_group_name_H-M 'P 1'
_symmetry_Int_Tables_number 1
_cell_length_a 3.994
_cell_length_b 3.170
_cell_length_c 7.040
_cell_angle_alpha 89.81
_cell_angle_beta 90.00
_cell_angle_gamma 90.00
loop_
_symmetry_equiv_pos_as_xyz
'x,y,z'
loop_
_atom_site_label
_atom_site_type_symbol
_atom_site_fract_x
_atom_site_fract_y
_atom_site_fract_z
Sr1 Sr 0.500 0.627 0.750
Al1 Al 0.000 0.125 0.068
Al2 Al 0.500 0.124 0.334
Ru1 Ru 0.000 0.623 0.349
# Calculated density   4.52 Mg/m³
# VASP energy   -4.734 eV/atom
# Density of states at the Fermi level   3.69 states/eV per cell

Record 3
# HfMg2BeFe GGA-PBE optimized geometry
data_HfMg2BeFe
_chemical_formula_sum 'Hf1 Mg2 Be1 Fe1'
_symmetry_space_group_name_H-M 'P 1'
_symmetry_Int_Tables_number 1
_cell_length_a 4.778
_cell_length_b 4.539
_cell_length_c 4.778
_cell_angle_alpha 90.00
_cell_angle_beta 90.00
_cell_angle_gamma 90.00
loop_
_symmetry_equiv_pos_as_xyz
'x,y,z'
loop_
_atom_site_label
_atom_site_type_symbol
_atom_site_fract_x
_atom_site_fract_y
_atom_site_fract_z
Fe1 Fe 0.000 0.000 0.000
Mg1 Mg 0.500 0.000 0.000
Mg2 Mg 0.000 0.000 0.500
Be1 Be 0.500 0.500 0.500
Hf1 Hf 0.000 0.500 0.000
# Calculated density   4.68 Mg/m³
# VASP energy   -4.319 eV/atom
# Density of states at the Fermi level   3.86 states/eV per cell

Which formula does entry 1 have?
AlPS4

The highest density of states at the Fermi level belongs to which entry?
HfMg2BeFe

calculated density of number 1 (AlPS4)?
1.47 Mg/m³

Look up the calculated density of the third one.
4.68 Mg/m³